# 1
A geometry-optimized Ac2CuAu2O6 structure, computed with PBE.

Cell: 6.343 6.343 6.343 Å, 58.81 58.81 58.81°
Atoms (fractional coordinates):
Ac1 0.212 0.212 0.212
Ac2 0.788 0.788 0.788
Cu1 0.000 0.000 0.000
Au1 0.410 0.410 0.410
Au2 0.590 0.590 0.590
O1 0.188 0.775 0.775
O2 0.225 0.225 0.812
O3 0.225 0.812 0.225
O4 0.775 0.188 0.775
O5 0.775 0.775 0.188
O6 0.812 0.225 0.225

Properties
The energy relative to the elements, uncorrected comes out at -13.72 eV/f.u.

---

# 2
A geometry-optimized ScGa2ClO structure, computed with PBE.

Cell: 5.470 5.470 4.696 Å, 90.00 90.00 90.00°
Atoms (fractional coordinates):
Sc1 0.000 0.000 0.000
Ga1 0.000 0.500 0.000
Ga2 0.500 0.000 0.000
Cl1 0.000 0.000 0.500
O1 0.500 0.500 0.500

Properties
The energy relative to the elements, uncorrected comes out at 1.22 eV/f.u.

---

# 3
A geometry-optimized TlIr3C structure, computed with PBE.

Cell: 5.010 5.010 5.010 Å, 90.00 90.00 90.00°
Atoms (fractional coordinates):
Tl1 0.000 0.000 0.000
Ir1 0.000 0.000 0.500
Ir2 0.000 0.500 0.000
Ir3 0.500 0.000 0.000
C1 0.500 0.500 0.500

Properties
The energy of formation from the pure elements comes out at 3.799 eV per atom.

---

The spin magnetization results, record by record, are as follows: 0.00, 0.00, 2.47 μB/f.u..